1.
Computed, not measured: a relaxed structure of La2TbPmEr2 at the PBE-GGA level of DFT.

Output
Final energy: -55.7 eV per cell
Total moment: 0.0 Bohr magnetons per cell
D(E_F): 9.54 states/eV/f.u.

```
data_La2TbPmEr2
_cell_length_a 5.6937
_cell_length_b 10.1615
_cell_length_c 7.0129
_cell_angle_alpha 90.00
_cell_angle_beta 90.00
_cell_angle_gamma 90.00
_symmetry_space_group_name_H-M 'P m c 21'
_symmetry_Int_Tables_number 26
loop_
_symmetry_equiv_pos_as_xyz
'x,y,z'
'-x,-y,z+1/2'
'-x,y,z'
'x,-y,z+1/2'
loop_
_atom_site_label
_atom_site_fract_x
_atom_site_fract_y
_atom_site_fract_z
La1 0.0000 0.0199 0.0000
La2 0.5000 0.1888 0.2680
Tb1 0.0000 0.3178 0.6811
Pm1 0.5000 0.4824 0.9434
Er1 0.0000 0.3603 0.1901
Er2 0.5000 0.1447 0.7560
```



2.
Computed, not measured: a relaxed structure of MnSiAg3 at the PBE-GGA level of DFT.

Output
Distance to the lowest polymorph of the same formula: 543 meV/atom
Total moment: 4.4 Bohr magnetons per cell
D(E_F): 3.88 states/eV/f.u.
Raw formation energy: 1180 meV/atom

```
data_MnSiAg3
_cell_length_a 4.9053
_cell_length_b 4.9053
_cell_length_c 4.9053
_cell_angle_alpha 90.00
_cell_angle_beta 90.00
_cell_angle_gamma 90.00
_symmetry_space_group_name_H-M 'P m -3 m'
_symmetry_Int_Tables_number 221
_symmetry_space_group_name_Hall '-P 4 2 3'
loop_
_atom_site_label
_atom_site_fract_x
_atom_site_fract_y
_atom_site_fract_z
Mn1 0.0000 0.0000 0.0000
Si1 0.5000 0.5000 0.5000
Ag1 0.0000 0.0000 0.5000
```



3.
Computed, not measured: a relaxed structure of Ag5HgO4 at the PBE-GGA level of DFT.

Output
Total moment: 0.0 Bohr magnetons per cell
D(E_F): 5.38 states/eV/f.u.
Raw formation energy: 32 meV/atom

```
data_Ag5HgO4
_cell_length_a 7.2894
_cell_length_b 8.8799
_cell_length_c 5.0160
_cell_angle_alpha 90.00
_cell_angle_beta 90.00
_cell_angle_gamma 90.00
_symmetry_space_group_name_H-M 'P m m n'
_symmetry_Int_Tables_number 59
loop_
_symmetry_equiv_pos_as_xyz
'x,y,z'
'-x,-y,-z'
'-x+1/2,-y+1/2,z'
'x+1/2,y+1/2,-z'
'x+1/2,-y,-z'
'-x+1/2,y,z'
'-x,y+1/2,-z'
'x,-y+1/2,z'
loop_
_atom_site_label
_atom_site_fract_x
_atom_site_fract_y
_atom_site_fract_z
Ag1 0.0473 0.0862 0.2375
Ag2 0.2500 0.7500 0.4562
Hg1 0.2500 0.2500 0.7959
O1 0.0330 0.7500 0.0964
O2 0.2500 0.5116 0.5232
```



4.
Computed, not measured: a relaxed structure of Tm4AlGa2 at the PBE-GGA level of DFT.

Output
Final energy: -59.4 eV per cell
Total moment: 0.0 Bohr magnetons per cell
D(E_F): 4.55 states/eV/f.u.

```
data_Tm4AlGa2
_cell_length_a 15.0340
_cell_length_b 3.4410
_cell_length_c 8.0473
_cell_angle_alpha 90.00
_cell_angle_beta 121.91
_cell_angle_gamma 90.00
_symmetry_space_group_name_H-M 'C 1 2/m 1'
_symmetry_Int_Tables_number 12
loop_
_symmetry_equiv_pos_as_xyz
'x,y,z'
'-x,-y,-z'
'-x,y,-z'
'x,-y,z'
'x+1/2,y+1/2,z'
'-x+1/2,-y+1/2,-z'
'-x+1/2,y+1/2,-z'
'x+1/2,-y+1/2,z'
loop_
_atom_site_label
_atom_site_fract_x
_atom_site_fract_y
_atom_site_fract_z
Tm1 0.1195 0.0000 0.2767
Tm2 0.1219 0.5000 0.8747
Al1 0.0000 0.0000 0.5000
Ga1 0.2177 0.0000 0.7068
```



5.
Computed, not measured: a relaxed structure of CaZnGa2Ag4 at the PBE-GGA level of DFT.

Output
Final energy: -65.4 eV per cell
Total moment: 0.0 Bohr magnetons per cell
D(E_F): 2.36 states/eV/f.u.

```
data_CaZnGa2Ag4
_cell_length_a 4.5711
_cell_length_b 4.5711
_cell_length_c 25.6933
_cell_angle_alpha 90.00
_cell_angle_beta 90.00
_cell_angle_gamma 120.00
_symmetry_space_group_name_H-M 'R -3 m'
_symmetry_Int_Tables_number 166
_symmetry_space_group_name_Hall '-R 3 2"'
loop_
_atom_site_label
_atom_site_fract_x
_atom_site_fract_y
_atom_site_fract_z
Ca1 0.0000 0.0000 0.0000
Zn1 0.0000 0.0000 0.5000
Ga1 0.0000 0.0000 0.2519
Ag1 0.0000 0.0000 0.1338
Ag2 0.0000 0.0000 0.3989
```



6.
Computed, not measured: a relaxed structure of La12Tl3Au at the PBE-GGA level of DFT.

Output
Final energy: -72.5 eV per cell
Total moment: 0.0 Bohr magnetons per cell
D(E_F): 24.69 states/eV/f.u.

```
data_La12Tl3Au
_cell_length_a 5.8023
_cell_length_b 5.8023
_cell_length_c 15.2554
_cell_angle_alpha 90.00
_cell_angle_beta 90.00
_cell_angle_gamma 90.00
_symmetry_space_group_name_H-M 'P 4/m m m'
_symmetry_Int_Tables_number 123
_symmetry_space_group_name_Hall '-P 4 2'
loop_
_atom_site_label
_atom_site_fract_x
_atom_site_fract_y
_atom_site_fract_z
La1 0.0000 0.0000 0.0000
La2 0.0000 0.0000 0.2443
La3 0.0000 0.0000 0.5000
La4 0.0000 0.5000 0.1155
La5 0.0000 0.5000 0.3742
Tl1 0.5000 0.5000 0.2479
Tl2 0.5000 0.5000 0.5000
Au1 0.5000 0.5000 0.0000
```



7.
Computed, not measured: a relaxed structure of NdThGeOs at the PBE-GGA level of DFT.

Output
Final energy: -60.6 eV per cell
Total moment: 0.0 Bohr magnetons per cell
D(E_F): 2.66 states/eV/f.u.

```
data_NdThGeOs
_cell_length_a 4.0228
_cell_length_b 4.1685
_cell_length_c 11.6649
_cell_angle_alpha 90.00
_cell_angle_beta 90.00
_cell_angle_gamma 90.00
_symmetry_space_group_name_H-M 'A m m 2'
_symmetry_Int_Tables_number 38
loop_
_symmetry_equiv_pos_as_xyz
'x,y,z'
'-x,-y,z'
'-x,y,z'
'x,-y,z'
'x,y+1/2,z+1/2'
'-x,-y+1/2,z+1/2'
'-x,y+1/2,z+1/2'
'x,-y+1/2,z+1/2'
loop_
_atom_site_label
_atom_site_fract_x
_atom_site_fract_y
_atom_site_fract_z
Nd1 0.0000 0.0000 0.0000
Th1 0.5000 0.0000 0.2745
Ge1 0.5000 0.0000 0.5762
Os1 0.0000 0.0000 0.7292
```



8.
Computed, not measured: a relaxed structure of HfP2CS at the PBE-GGA level of DFT.

Output
Distance to the lowest polymorph of the same formula: 0 meV/atom
Total moment: 0.0 Bohr magnetons per cell
D(E_F): 2.14 states/eV/f.u.
Raw formation energy: 525 meV/atom

```
data_HfP2CS
_cell_length_a 4.0679
_cell_length_b 4.0679
_cell_length_c 4.2184
_cell_angle_alpha 90.00
_cell_angle_beta 90.00
_cell_angle_gamma 90.00
_symmetry_space_group_name_H-M 'P 4/m m m'
_symmetry_Int_Tables_number 123
_symmetry_space_group_name_Hall '-P 4 2'
loop_
_atom_site_label
_atom_site_fract_x
_atom_site_fract_y
_atom_site_fract_z
Hf1 0.0000 0.0000 0.0000
P1 0.0000 0.5000 0.5000
C1 0.5000 0.5000 0.5000
S1 0.5000 0.5000 0.0000
```